(1)
Density functional theory data (PBE) for a geometry-optimized Sr2Bi2Au structure.

Unit cell a=8.1414 b=8.1414 c=4.9730 alpha=90.00 beta=90.00 gamma=90.00
With the nearest neighbours (Å) after each atom.
Sites, in units of the cell vectors:
1 Sr 0.1686 0.6686 0.5000  6 Bi 3.31-3.55
2 Sr 0.6686 0.8314 0.5000  6 Bi 3.31-3.55
3 Sr 0.8314 0.3314 0.5000  6 Bi 3.31-3.55
4 Sr 0.3314 0.1686 0.5000  6 Bi 3.31-3.55
5 Au 0.0000 0.0000 0.0000  4 Bi 3.14
6 Au 0.5000 0.5000 0.0000  4 Bi 3.14
7 Bi 0.3585 0.8585 0.0000  2 Au 3.14, 1 Bi 3.26, 2 Sr 3.31
8 Bi 0.8585 0.6415 0.0000  2 Au 3.14, 1 Bi 3.26, 2 Sr 3.31
9 Bi 0.6415 0.1415 0.0000  2 Au 3.14, 1 Bi 3.26, 2 Sr 3.31
10 Bi 0.1415 0.3585 0.0000  2 Au 3.14, 1 Bi 3.26, 2 Sr 3.31

Summary:
For the energy relative to the lowest polymorph listed for this composition, the calculation gives 0.119 eV/atom. Its calculated formation energy is -0.600 eV per atom. As for the mass density: 8.0 g/cm³. The total energy is -3.4802 eV/atom. The calculation puts the volume at 329.62 Å³/cell.

(2)
Density functional theory data (PBE) for a geometry-optimized KAcCl3 structure.

Unit cell a=5.8412 b=5.8412 c=5.8412 alpha=90.00 beta=90.00 gamma=90.00
With the nearest neighbours (Å) after each atom.
Sites, in units of the cell vectors:
1 Ac 0.0000 0.0000 0.0000  6 Cl 2.92
2 K 0.5000 0.5000 0.5000  12 Cl 4.13
3 Cl 0.0000 0.5000 0.0000  2 Ac 2.92
4 Cl 0.0000 0.0000 0.5000  2 Ac 2.92
5 Cl 0.5000 0.0000 0.0000  2 Ac 2.92

Summary:
As for the formation energy without anion corrections: -1.830 eV/atom. As for the mass density: 3.1 g/cm³. The total energy is -3.9793 eV/atom. The calculation puts the volume at 199.30 Å³/cell.

(3)
Density functional theory data (PBE) for a geometry-optimized CuReTe structure.

Unit cell a=3.1553 b=3.1553 c=6.2170 alpha=90.00 beta=90.00 gamma=120.00
With the nearest neighbours (Å) after each atom.
Sites, in units of the cell vectors:
1 Cu 0.0000 0.0000 0.0197  3 Re 2.66, 3 Te 2.94
2 Re 0.6667 0.3333 0.3315  3 Cu 2.66, 3 Te 2.68
3 Te 0.3333 0.6667 0.6488  3 Re 2.68, 3 Cu 2.94

Summary:
As for the formation energy without anion corrections: 0.685 eV/atom. For the energy relative to the lowest polymorph listed for this composition, the calculation gives 0.516 eV/atom. As for the mass density: 11.7 g/cm³. The total energy is -5.8768 eV/atom. The calculation puts the volume at 53.60 Å³/cell.

(4)
Density functional theory data (PBE) for a geometry-optimized Cs3TlNi2Cl9 structure.

Unit cell a=7.3059 b=7.3059 c=9.0138 alpha=90.00 beta=90.00 gamma=120.00
With the nearest neighbours (Å) after each atom.
Sites, in units of the cell vectors:
1 Cs 0.3333 0.6667 0.6755  12 Cl 3.61-3.82
2 Cs 0.0000 0.0000 0.0000  12 Cl 3.62-3.65
3 Cs 0.6667 0.3333 0.3245  12 Cl 3.61-3.82
4 Tl 0.0000 0.0000 0.5000  6 Cl 2.89
5 Ni 0.3333 0.6667 0.1579  6 Cl 2.34-2.54
6 Ni 0.6667 0.3333 0.8421  6 Cl 2.34-2.54
7 Cl 0.8171 0.1829 0.6914  1 Ni 2.34
8 Cl 0.8171 0.6343 0.6914  1 Ni 2.34
9 Cl 0.3657 0.1829 0.6914  1 Ni 2.34
10 Cl 0.6343 0.8171 0.3086  1 Ni 2.34
11 Cl 0.1829 0.3657 0.3086  1 Ni 2.34
12 Cl 0.1829 0.8171 0.3086  1 Ni 2.34
13 Cl 0.5000 0.0000 0.0000  2 Ni 2.54
14 Cl 0.0000 0.5000 0.0000  2 Ni 2.54
15 Cl 0.5000 0.5000 0.0000  2 Ni 2.54

Summary:
As for the formation energy without anion corrections: -1.167 eV/atom. As for the mass density: 4.1 g/cm³. The total energy is -3.3741 eV/atom. The calculation puts the volume at 416.67 Å³/cell.

(5)
Density functional theory data (PBE) for a geometry-optimized NiAsCl2 structure.

Unit cell a=3.4304 b=3.4299 c=7.8909 alpha=90.00 beta=90.00 gamma=90.00
With the nearest neighbours (Å) after each atom.
Sites, in units of the cell vectors:
1 Ni 0.0000 0.0000 0.6604  1 Cl 2.12
2 As 0.5000 0.5000 0.5942  1 Cl 2.19
3 Cl 0.0000 0.0000 0.9288  1 Ni 2.12
4 Cl 0.5000 0.5000 0.3166  1 As 2.19

Summary:
As for the formation energy without anion corrections: -0.224 eV/atom. For the energy relative to the lowest polymorph listed for this composition, the calculation gives 0.233 eV/atom. As for the mass density: 3.7 g/cm³. The total energy is -3.7548 eV/atom. The calculation puts the volume at 92.84 Å³/cell.

(6)
Density functional theory data (PBE) for a geometry-optimized NaNbO3 structure.

Unit cell a=3.9752 b=3.9752 c=3.9752 alpha=90.00 beta=90.00 gamma=90.00
With the nearest neighbours (Å) after each atom.
Sites, in units of the cell vectors:
1 Na 0.5000 0.5000 0.5000  12 O 2.81
2 Nb 0.0000 0.0000 0.0000  6 O 1.99
3 O 0.0000 0.5000 0.0000  2 Nb 1.99
4 O 0.0000 0.0000 0.5000  2 Nb 1.99
5 O 0.5000 0.0000 0.0000  2 Nb 1.99

Summary:
As for the formation energy without anion corrections: -2.387 eV/atom. As for the mass density: 4.3 g/cm³. The total energy is -7.6398 eV/atom. The calculation puts the volume at 62.82 Å³/cell.

(7)
Density functional theory data (PBE) for a geometry-optimized Pm5Sm6Ho structure.

Unit cell a=6.2873 b=6.2855 c=12.0392 alpha=85.00 beta=79.96 gamma=59.99
With the nearest neighbours (Å) after each atom.
Sites, in units of the cell vectors:
1 Ho 0.0000 0.0000 0.0000  6 Sm 3.61-3.62, 6 Pm 3.63
2 Sm 0.5848 0.3325 0.2488  1 Ho 3.61, 5 Pm 3.62-3.65, 6 Sm 3.62-3.63
3 Sm 0.0828 0.3325 0.7512  1 Ho 3.61, 5 Pm 3.62-3.65, 6 Sm 3.62-3.63
4 Sm 0.7505 0.0000 0.7509  1 Ho 3.62, 6 Sm 3.62-3.63, 5 Pm 3.62-3.64
5 Sm 0.2495 0.0000 0.2491  1 Ho 3.62, 6 Sm 3.62-3.63, 5 Pm 3.62-3.64
6 Sm 0.9172 0.6675 0.2488  1 Ho 3.61, 5 Pm 3.62-3.65, 6 Sm 3.62-3.63
7 Sm 0.4152 0.6675 0.7512  1 Ho 3.61, 5 Pm 3.62-3.65, 6 Sm 3.62-3.63
8 Pm 0.1665 0.6669 0.5000  6 Pm 3.63, 6 Sm 3.64-3.65
9 Pm 0.3333 0.3333 0.0000  6 Sm 3.62, 3 Pm 3.63, 3 Ho 3.63
10 Pm 0.5000 0.0000 0.5000  6 Pm 3.63, 6 Sm 3.64
11 Pm 0.6667 0.6667 0.0000  6 Sm 3.62, 3 Pm 3.63, 3 Ho 3.63
12 Pm 0.8335 0.3331 0.5000  6 Pm 3.63, 6 Sm 3.64-3.65

Summary:
Its calculated formation energy is 0.013 eV per atom. As for the mass density: 7.3 g/cm³. The total energy is -4.7071 eV/atom. The calculation puts the volume at 405.69 Å³/cell.

(8)
Density functional theory data (PBE) for a geometry-optimized La2TbPr6 structure.

Unit cell a=8.3059 b=8.3059 c=10.6988 alpha=90.00 beta=90.00 gamma=90.00
With the nearest neighbours (Å) after each atom.
Sites, in units of the cell vectors:
1 La 0.0000 0.0000 0.3527  6 Pr 3.13-3.39, 1 La 3.15
2 La 0.5000 0.5000 0.8527  6 Pr 3.13-3.39, 1 La 3.15
3 La 0.5000 0.5000 0.1473  6 Pr 3.13-3.39, 1 La 3.15
4 La 0.0000 0.0000 0.6473  6 Pr 3.13-3.39, 1 La 3.15
5 Tb 0.0000 0.0000 0.0000  6 Pr 3.07-3.29
6 Tb 0.5000 0.5000 0.5000  6 Pr 3.07-3.29
7 Pr 0.2655 0.2655 0.3312  2 La 3.13-3.39, 1 Tb 3.29
8 Pr 0.7345 0.7345 0.3312  2 La 3.13-3.39, 1 Tb 3.29
9 Pr 0.2345 0.7655 0.8312  2 La 3.13-3.39, 1 Tb 3.29
10 Pr 0.7655 0.2345 0.8312  2 La 3.13-3.39, 1 Tb 3.29
11 Pr 0.2345 0.7655 0.1688  2 La 3.13-3.39, 1 Tb 3.29
12 Pr 0.7655 0.2345 0.1688  2 La 3.13-3.39, 1 Tb 3.29
13 Pr 0.2655 0.2655 0.6688  2 La 3.13-3.39, 1 Tb 3.29
14 Pr 0.7345 0.7345 0.6688  2 La 3.13-3.39, 1 Tb 3.29
15 Pr 0.2614 0.2614 0.0000  1 Tb 3.07, 2 La 3.22
16 Pr 0.7386 0.7386 0.0000  1 Tb 3.07, 2 La 3.22
17 Pr 0.2386 0.7614 0.5000  1 Tb 3.07, 2 La 3.22
18 Pr 0.7614 0.2386 0.5000  1 Tb 3.07, 2 La 3.22

Summary:
For the energy relative to the lowest polymorph listed for this composition, the calculation gives 0.557 eV/atom. Its calculated formation energy is 0.574 eV per atom. As for the mass density: 5.8 g/cm³. The total energy is -4.2214 eV/atom. The calculation puts the volume at 738.09 Å³/cell.

(9)
Density functional theory data (PBE) for a geometry-optimized SbSeN2F structure.

Unit cell a=4.1431 b=4.1431 c=4.0705 alpha=90.00 beta=90.00 gamma=90.00
With the nearest neighbours (Å) after each atom.
Sites, in units of the cell vectors:
1 Sb 0.0000 0.0000 0.0000  2 F 2.04, 4 N 2.07
2 N 0.0000 0.5000 0.0000  2 Sb 2.07
3 N 0.5000 0.0000 0.0000  2 Sb 2.07
4 Se 0.5000 0.5000 0.5000  8 N 2.90, 4 F 2.93
5 F 0.0000 0.0000 0.5000  2 Sb 2.04

Summary:
As for the formation energy without anion corrections: 0.766 eV/atom. For the energy relative to the lowest polymorph listed for this composition, the calculation gives 0.000 eV/atom. As for the mass density: 5.9 g/cm³. The total energy is -4.4593 eV/atom. The calculation puts the volume at 69.87 Å³/cell.

(10)
Density functional theory data (PBE) for a geometry-optimized NaTiTl2 structure.

Unit cell a=4.7003 b=4.7003 c=10.5343 alpha=77.11 beta=77.11 gamma=90.00
With the nearest neighbours (Å) after each atom.
Sites, in units of the cell vectors:
1 Na 0.5000 0.5000 0.0000  4 Tl 3.05, 4 Ti 3.32
2 Na 0.2500 0.7500 0.5000  4 Tl 3.05, 4 Ti 3.32
3 Tl 0.6481 0.1250 0.2500  2 Ti 2.96, 2 Na 3.05, 2 Tl 3.17
4 Tl 0.1019 0.6250 0.2500  2 Ti 2.96, 2 Na 3.05, 2 Tl 3.17
5 Tl 0.3750 0.3519 0.7500  2 Ti 2.96, 2 Na 3.05, 2 Tl 3.17
6 Tl 0.8750 0.8981 0.7500  2 Ti 2.96, 2 Na 3.05, 2 Tl 3.17
7 Ti 0.0000 0.0000 0.0000  4 Tl 2.96
8 Ti 0.7500 0.2500 0.5000  4 Tl 2.96

Summary:
Its calculated formation energy is 0.513 eV per atom. As for the mass density: 7.2 g/cm³. The total energy is -2.9738 eV/atom. The calculation puts the volume at 220.84 Å³/cell.

> total energy of number 2 (KAcCl3)?

-3.9793 eV/atom